A relaxed structure of HoCr2CdO8. Source: Alexandria, functional GGA+U.

Calculated values
ρ, g/cm3: 5.18
Raw total energy, eV per atom: -6.745

a b c (Å): 7.218 7.218 6.272
angles (deg): 90.00 90.00 90.00
Space group I-4m2 (No. 119)
Symmetry-distinct sites (fractional):
Ho (0.000, 0.000, 0.000) x2
Cr (0.000, 0.000, 0.500) x2
Cr (0.000, 0.500, 0.250) x2
Cd (0.000, 0.500, 0.750) x2
O (0.000, 0.179, 0.668) x8
O (0.000, 0.309, 0.084) x8